Density functional theory data (GGA-PBE) for crystalline LaNdSmTl at its relaxed geometry.

Its total energy is -4.373 eV per atom. Its formation energy is -178 meV per atom. For the relative energy among the computed polymorphs, the calculation gives 0.00 kcal/mol of atoms. The calculation puts the density of states at the Fermi level at 1.46 states/eV/atom.

The structure belongs to space group I-4m2 (No. 119); the cell edges are 4.919, 4.919 and 10.373 Å and the angles 90.00°, 90.00° and 90.00°. The asymmetric unit holds La at (0.000, 0.000, 0.000), Nd at (0.000, 0.500, 0.250), Sm at (0.000, 0.500, 0.750) and Tl at (0.000, 0.000, 0.500).